1.
Here is a relaxed structure of Na2USnTe4 from the Alexandria database. Energies are from PBE.

Calculated values
DOS at the Fermi energy (states/eV per cell): 4.597
Space group: No. 10
Electronic total energy (eV/atom): -4.50

Lattice parameters (Å, degrees): 4.501 7.946 7.810 108.93 90.00 90.00
Each line ends with the local moment (μB).
Positions (direct):
1 Te 0.000 0.736 0.230  -0.06
2 Te 0.000 0.264 0.770  -0.06
3 Te 0.500 0.258 0.232  -0.05
4 Te 0.500 0.742 0.768  -0.05
5 Sn 0.000 0.000 0.000  -0.01
6 Na 0.000 0.500 0.500  0.00
7 Na 0.500 0.000 0.500  0.00
8 U 0.500 0.500 0.000  2.25


2.
Here is a relaxed structure of NaUSnTe3 from the Alexandria database. Energies are from PBE.

Calculated values
DOS at the Fermi energy (states/eV per cell): 14.179
Space group: No. 11
Electronic total energy (eV/atom): -4.88

Lattice parameters (Å, degrees): 4.281 9.195 10.317 117.72 90.00 90.00
Each line ends with the local moment (μB).
Positions (direct):
1 Na 0.750 0.775 0.795  0.00
2 Na 0.250 0.225 0.205  0.00
3 Te 0.250 0.082 0.842  -0.06
4 Te 0.750 0.347 0.505  -0.03
5 Te 0.750 0.918 0.158  -0.06
6 Te 0.750 0.447 0.131  -0.07
7 Te 0.250 0.553 0.869  -0.07
8 Te 0.250 0.653 0.495  -0.03
9 U 0.250 0.719 0.215  1.90
10 U 0.750 0.281 0.785  1.90
11 Sn 0.750 0.876 0.497  -0.01
12 Sn 0.250 0.124 0.503  -0.01


3.
Here is a relaxed structure of Na3U2SnTe6 from the Alexandria database. Energies are from PBE.

Calculated values
DOS at the Fermi energy (states/eV per cell): 15.661
Space group: No. 12
Electronic total energy (eV/atom): -4.85

Lattice parameters (Å, degrees): 7.828 7.828 7.905 99.50 99.50 120.02
Each line ends with the local moment (μB).
Positions (direct):
1 U 0.333 0.667 0.000  2.56
2 U 0.667 0.333 0.000  2.56
3 Te 0.078 0.420 0.234  -0.06
4 Te 0.580 0.922 0.766  -0.06
5 Te 0.420 0.078 0.234  -0.06
6 Te 0.736 0.736 0.233  -0.05
7 Te 0.264 0.264 0.767  -0.05
8 Te 0.922 0.580 0.766  -0.06
9 Na 0.500 0.500 0.500  0.00
10 Na 0.838 0.162 0.500  0.00
11 Na 0.162 0.838 0.500  0.00
12 Sn 0.000 0.000 0.000  -0.01


4.
Here is a relaxed structure of NaY2SnTe from the Alexandria database. Energies are from PBE.

Calculated values
DOS at the Fermi energy (states/eV per cell): 5.920
Space group: No. 123
Electronic total energy (eV/atom): -3.89

Lattice parameters (Å, degrees): 5.646 4.961 5.646 90.00 90.00 90.00
Positions (direct):
1 Y 0.500 0.000 0.000
2 Y 0.000 0.000 0.500
3 Te 0.500 0.500 0.500
4 Na 0.000 0.000 0.000
5 Sn 0.000 0.500 0.000


5.
Here is a relaxed structure of NaY2Sn3Te6 from the Alexandria database. Energies are from PBE.

Calculated values
DOS at the Fermi energy (states/eV per cell): 4.120
Space group: No. 12
Electronic total energy (eV/atom): -4.50

Lattice parameters (Å, degrees): 4.413 9.180 10.108 104.26 102.61 90.00
Positions (direct):
1 Y 0.169 0.346 0.337
2 Y 0.831 0.654 0.663
3 Sn 0.157 0.849 0.314
4 Sn 0.843 0.151 0.686
5 Sn 0.500 0.500 0.000
6 Te 0.675 0.106 0.351
7 Te 0.008 0.257 0.015
8 Te 0.669 0.588 0.337
9 Te 0.331 0.412 0.663
10 Te 0.992 0.743 0.985
11 Te 0.325 0.894 0.649
12 Na 0.500 0.000 0.000


6.
Here is a relaxed structure of Na2YSnTe4 from the Alexandria database. Energies are from PBE.

Calculated values
DOS at the Fermi energy (states/eV per cell): 2.414
Space group: No. 10
Electronic total energy (eV/atom): -4.11

Lattice parameters (Å, degrees): 4.379 7.743 7.998 108.52 90.00 90.00
Positions (direct):
1 Na 0.500 0.000 0.500
2 Na 0.000 0.500 0.500
3 Te 0.000 0.745 0.230
4 Te 0.000 0.255 0.770
5 Te 0.500 0.755 0.769
6 Te 0.500 0.245 0.231
7 Y 0.500 0.500 0.000
8 Sn 0.000 0.000 0.000


7.
Here is a relaxed structure of Na2ZnSnTe4 from the Alexandria database. Energies are from PBE.

Calculated values
Space group: No. 82
Electronic total energy (eV/atom): -3.09

Lattice parameters (Å, degrees): 7.218 7.218 7.639 118.20 118.19 90.00
Positions (direct):
1 Zn 0.986 0.486 0.972
2 Te 0.665 0.616 0.739
3 Te 0.074 0.123 0.739
4 Te 0.349 0.807 0.204
5 Te 0.855 0.398 0.204
6 Na 0.236 0.236 0.472
7 Na 0.486 0.986 0.972
8 Sn 0.736 0.736 0.472


8.
Here is a relaxed structure of NaZnSnTe3 from the Alexandria database. Energies are from PBE.

Calculated values
DOS at the Fermi energy (states/eV per cell): 3.388
Space group: No. 11
Electronic total energy (eV/atom): -3.10

Lattice parameters (Å, degrees): 4.206 8.392 10.920 102.38 90.00 90.00
Positions (direct):
1 Te 0.750 0.423 0.151
2 Te 0.750 0.242 0.544
3 Te 0.750 0.950 0.155
4 Te 0.250 0.050 0.845
5 Te 0.250 0.577 0.849
6 Te 0.250 0.758 0.456
7 Zn 0.250 0.072 0.605
8 Zn 0.750 0.928 0.395
9 Sn 0.250 0.682 0.127
10 Sn 0.750 0.318 0.873
11 Na 0.250 0.248 0.309
12 Na 0.750 0.752 0.691